Entry from Alexandria via LeMat-Bulk: an optimized crystal structure of AcCePd2 (PBE).

## Properties
E_form	-650	meV/atom
magnetic moment	0.75	μB/f.u.
crystal system	tetragonal
ΔE to the lowest computed polymorph	0.024	eV per atom

Lattice parameters (Å, degrees): 3.6967 3.6967 7.3677 90.00 90.00 90.00
Space group P4/mmm (No. 123)
Asymmetric unit:
Ac  0.0000  0.0000  0.0000 [1 per cell]
Ce  0.0000  0.0000  0.5000 [1 per cell]
Pd  0.5000  0.5000  0.2854 [2 per cell]